(1)
The following is a PBE calculation of PrDy2In after structural relaxation, from Alexandria.

a b c (Å): 3.510 3.510 12.106
angles (deg): 81.66 81.66 60.00
Element x y z (fractional)
Dy1 0.903 0.903 0.290
Dy2 0.097 0.097 0.710
Pr1 0.000 0.000 0.000
In1 0.500 0.500 0.500

Output
- final energy (eV per atom) = -4.139
- density (kg/m³) = 7572
- DOS at the Fermi energy (states/eV/f.u.) = 6.8
- ΔH_f (0 K) (eV per atom) = 0.04



(2)
The following is a PBE calculation of InPW2 after structural relaxation, from Alexandria.

a b c (Å): 3.050 3.050 7.074
angles (deg): 90.00 90.00 90.00
Element x y z (fractional)
In1 0.500 0.500 0.250
P1 0.500 0.500 0.750
W1 0.000 0.000 0.561
W2 0.000 0.000 0.939

Output
- final energy (eV per atom) = -8.289
- density (kg/m³) = 12959
- DOS at the Fermi energy (states/eV/f.u.) = 3.5
- ΔH_f (0 K) (eV per atom) = 0.22



(3)
The following is a PBE calculation of WBrCl3 after structural relaxation, from Alexandria.

a b c (Å): 6.683 7.489 7.489
angles (deg): 71.72 63.50 63.50
Element x y z (fractional)
Br1 0.825 0.175 0.175
Br2 0.175 0.825 0.825
Cl1 0.267 0.739 0.261
Cl2 0.733 0.739 0.261
Cl3 0.733 0.261 0.739
Cl4 0.267 0.261 0.739
Cl5 0.695 0.805 0.805
Cl6 0.305 0.195 0.195
W1 0.301 0.000 0.000
W2 0.699 0.000 0.000

Output
- final energy (eV per atom) = -4.777
- density (kg/m³) = 4137
- energy relative to the elements, uncorrected (eV/atom) = -0.74
- DOS at the Fermi energy (states/eV/f.u.) = 0.8



(4)
The following is a PBE calculation of La2PaTl2S6 after structural relaxation, from Alexandria.

a b c (Å): 7.282 7.282 7.861
angles (deg): 98.93 98.93 119.66
Site moments in Bohr magnetons follow the coordinates.
Element x y z (fractional)
S1 0.062 0.381 0.695  -0.01
S2 0.756 0.756 0.700  -0.01
S3 0.244 0.244 0.300  -0.01
S4 0.381 0.062 0.695  -0.01
S5 0.619 0.938 0.305  -0.01
S6 0.938 0.619 0.305  -0.01
La1 0.666 0.334 0.500  0.03
La2 0.334 0.666 0.500  0.03
Tl1 0.833 0.167 0.000  0.00
Tl2 0.167 0.833 0.000  0.00
Pa1 0.000 0.000 0.500  0.88

Output
- final energy (eV per atom) = -5.984
- density (kg/m³) = 5350
- energy relative to the elements, uncorrected (eV/atom) = -1.54
- DOS at the Fermi energy (states/eV/f.u.) = 2.9



> Which of these has the lowest final energy?

InPW2